(1)
{
  "formula": "TcRh3",
  "functional": "PBE",
  "state": "relaxed",
  "sg": "No. 221",
  "density_g_cm3": 6.6,
  "dft_energy_ev_per_atom": -6.38,
  "dos_at_fermi_per_ev_atom": 1.387,
  "ef_ev_per_fu": 6.89,
  "total_magnetization_mub_per_fu": 0.00,
  "lattice": [[-2.025, -1.664, -3.878], [1.103, -4.360, 1.295], [-4.073, -0.354, 2.278]],
  "species": ["Rh", "Rh", "Rh", "Tc"],
  "fractional_positions": [[0.000, 0.500, 0.000], [0.000, 0.000, 0.500], [0.500, 0.000, 0.000], [0.000, 0.000, 0.000]]
}



(2)
{
  "formula": "Tc3Rh",
  "functional": "PBE",
  "state": "relaxed",
  "sg": "No. 62",
  "density_g_cm3": 11.4,
  "dft_energy_ev_per_atom": -9.66,
  "dos_at_fermi_per_ev_atom": 0.971,
  "ef_ev_per_fu": -0.19,
  "total_magnetization_mub_per_fu": 0.00,
  "lattice": [[8.802, 0.000, 0.000], [0.000, 5.511, 0.000], [0.000, 0.000, 4.753]],
  "species": ["Tc", "Rh", "Tc", "Rh", "Tc", "Tc", "Tc", "Tc", "Tc", "Tc", "Tc", "Tc", "Rh", "Rh", "Tc", "Tc"],
  "fractional_positions": [[0.498, 0.630, 0.754], [0.250, 0.124, 0.417], [0.998, 0.370, 0.246], [0.750, 0.876, 0.583], [0.750, 0.380, 0.588], [0.250, 0.880, 0.912], [0.998, 0.130, 0.746], [0.750, 0.120, 0.088], [0.502, 0.130, 0.746], [0.250, 0.620, 0.412], [0.002, 0.630, 0.754], [0.002, 0.870, 0.254], [0.750, 0.624, 0.083], [0.250, 0.376, 0.917], [0.502, 0.370, 0.246], [0.498, 0.870, 0.254]]
}



(3)
{
  "formula": "TcRh3",
  "functional": "PBE",
  "state": "relaxed",
  "sg": "No. 44",
  "density_g_cm3": 11.9,
  "dft_energy_ev_per_atom": -8.16,
  "dos_at_fermi_per_ev_atom": 1.444,
  "ef_ev_per_fu": -0.20,
  "total_magnetization_mub_per_fu": 0.00,
  "lattice": [[5.168, -0.005, 0.002], [2.267, 4.644, -0.002], [-2.989, -3.486, 2.370]],
  "species": ["Rh", "Rh", "Tc", "Rh"],
  "fractional_positions": [[0.255, 0.253, 0.002], [0.749, 0.747, 0.002], [0.668, 0.000, 0.668], [0.162, 0.500, 0.662]]
}



(4)
{
  "formula": "Tc3Rh",
  "functional": "PBE",
  "state": "relaxed",
  "sg": "No. 187",
  "density_g_cm3": 11.4,
  "dft_energy_ev_per_atom": -9.68,
  "dos_at_fermi_per_ev_atom": 0.964,
  "ef_ev_per_fu": -0.28,
  "total_magnetization_mub_per_fu": 0.00,
  "lattice": [[2.745, 0.000, 0.000], [-1.373, 2.378, 0.000], [0.000, 0.000, 8.831]],
  "species": ["Rh", "Tc", "Tc", "Tc"],
  "fractional_positions": [[0.000, 0.000, 0.000], [0.333, 0.667, 0.750], [0.333, 0.667, 0.250], [0.000, 0.000, 0.500]]
}



(5)
{
  "formula": "TcRh3",
  "functional": "PBE",
  "state": "relaxed",
  "sg": "No. 221",
  "density_g_cm3": 11.9,
  "dft_energy_ev_per_atom": -8.13,
  "dos_at_fermi_per_ev_atom": 1.374,
  "ef_ev_per_fu": -0.12,
  "total_magnetization_mub_per_fu": 0.01,
  "lattice": [[-1.071, 1.547, 3.353], [-3.462, -1.635, -0.351], [1.285, -3.117, 1.849]],
  "species": ["Rh", "Rh", "Tc", "Rh"],
  "fractional_positions": [[0.500, 0.000, 0.500], [0.000, 0.000, 0.000], [0.500, 0.500, 0.000], [0.000, 0.500, 0.500]]
}



(6)
{
  "formula": "Tc3Rh",
  "functional": "PBE",
  "state": "relaxed",
  "sg": "No. 123",
  "density_g_cm3": 11.2,
  "dft_energy_ev_per_atom": -9.36,
  "dos_at_fermi_per_ev_atom": 1.316,
  "ef_ev_per_fu": 0.99,
  "total_magnetization_mub_per_fu": 0.00,
  "lattice": [[3.248, 0.000, 0.000], [0.000, 3.248, 0.000], [0.000, 0.000, 5.580]],
  "species": ["Tc", "Rh", "Tc", "Tc"],
  "fractional_positions": [[0.000, 0.000, 0.500], [0.000, 0.000, 0.000], [0.500, 0.500, 0.761], [0.500, 0.500, 0.239]]
}



(7)
{
  "formula": "TcRh3",
  "functional": "PBE",
  "state": "relaxed",
  "sg": "No. 166",
  "density_g_cm3": 11.6,
  "dft_energy_ev_per_atom": -7.77,
  "dos_at_fermi_per_ev_atom": 2.004,
  "ef_ev_per_fu": 1.35,
  "total_magnetization_mub_per_fu": 0.67,
  "lattice": [[5.096, 0.002, 0.007], [-2.315, 4.540, 0.007], [-2.315, -3.781, 2.513]],
  "species": ["Rh", "Rh", "Rh", "Tc"],
  "fractional_positions": [[0.500, 0.500, 0.000], [0.000, 0.500, 0.500], [0.000, 0.000, 0.000], [0.500, 0.000, 0.500]]
}



(8)
{
  "formula": "Tc3Rh",
  "functional": "PBE",
  "state": "relaxed",
  "sg": "No. 166",
  "density_g_cm3": 11.2,
  "dft_energy_ev_per_atom": -9.33,
  "dos_at_fermi_per_ev_atom": 1.019,
  "ef_ev_per_fu": 1.13,
  "total_magnetization_mub_per_fu": 0.00,
  "lattice": [[-2.381, 3.710, -2.636], [-1.046, -4.852, -1.323], [0.985, 0.914, 4.958]],
  "species": ["Tc", "Rh", "Tc", "Tc"],
  "fractional_positions": [[0.000, 0.500, 0.500], [0.000, 0.000, 0.000], [0.500, 0.000, 0.500], [0.500, 0.500, 0.000]]
}



(9)
{
  "formula": "Tc3Rh",
  "functional": "PBE",
  "state": "relaxed",
  "sg": "No. 123",
  "density_g_cm3": 11.4,
  "dft_energy_ev_per_atom": -9.63,
  "dos_at_fermi_per_ev_atom": 1.074,
  "ef_ev_per_fu": -0.06,
  "total_magnetization_mub_per_fu": 0.00,
  "lattice": [[-2.483, -0.035, -1.134], [-0.906, -1.579, 2.034], [-1.939, 6.331, 4.050]],
  "species": ["Tc", "Tc", "Rh", "Tc"],
  "fractional_positions": [[0.500, 0.500, 0.748], [0.000, 0.000, 0.500], [0.000, 0.000, 0.000], [0.500, 0.500, 0.252]]
}



(10)
{
  "formula": "Tc8Rh",
  "functional": "PBE",
  "state": "relaxed",
  "sg": "No. 139",
  "density_g_cm3": 11.2,
  "dft_energy_ev_per_atom": -9.99,
  "dos_at_fermi_per_ev_atom": 1.220,
  "ef_ev_per_fu": 0.36,
  "total_magnetization_mub_per_fu": 0.00,
  "lattice": [[-2.826, -4.048, -3.636], [2.227, 0.803, 5.656], [-4.864, 3.661, 0.734]],
  "species": ["Rh", "Tc", "Tc", "Tc", "Tc", "Tc", "Tc", "Tc", "Tc"],
  "fractional_positions": [[0.000, 0.000, 0.000], [0.000, 0.333, 0.333], [0.333, 0.000, 0.333], [0.333, 0.667, 0.000], [0.667, 0.667, 0.334], [0.000, 0.667, 0.667], [0.667, 0.333, 0.000], [0.333, 0.333, 0.666], [0.667, 0.000, 0.667]]
}



(11)
{
  "formula": "Tc2Rh3",
  "functional": "PBE",
  "state": "relaxed",
  "sg": "No. 166",
  "density_g_cm3": 10.0,
  "dft_energy_ev_per_atom": -7.73,
  "dos_at_fermi_per_ev_atom": 1.557,
  "ef_ev_per_fu": 4.14,
  "total_magnetization_mub_per_fu": 0.00,
  "lattice": [[0.909, -3.595, 6.628], [-1.774, -5.438, 4.997], [1.696, -6.136, 4.143]],
  "species": ["Tc", "Rh", "Rh", "Rh", "Tc"],
  "fractional_positions": [[0.403, 0.403, 0.403], [0.791, 0.791, 0.791], [0.209, 0.209, 0.209], [0.000, 0.000, 0.000], [0.597, 0.597, 0.597]]
}



(12)
{
  "formula": "Tc3Rh",
  "functional": "PBE",
  "state": "relaxed",
  "sg": "No. 225",
  "density_g_cm3": 11.2,
  "dft_energy_ev_per_atom": -9.28,
  "dos_at_fermi_per_ev_atom": 2.089,
  "ef_ev_per_fu": 1.31,
  "total_magnetization_mub_per_fu": 0.16,
  "lattice": [[-0.336, 1.769, -3.979], [-3.935, 0.617, -1.790], [-1.577, 4.046, -0.465]],
  "species": ["Tc", "Tc", "Rh", "Tc"],
  "fractional_positions": [[0.750, 0.750, 0.750], [0.500, 0.500, 0.500], [0.000, 0.000, 0.000], [0.250, 0.250, 0.250]]
}



(13)
{
  "formula": "Tc3Rh5",
  "functional": "PBE",
  "state": "relaxed",
  "sg": "No. 63",
  "density_g_cm3": 11.1,
  "dft_energy_ev_per_atom": -8.13,
  "dos_at_fermi_per_ev_atom": 1.704,
  "ef_ev_per_fu": 2.80,
  "total_magnetization_mub_per_fu": 0.00,
  "lattice": [[7.514, 0.000, -0.002], [0.000, 4.930, 0.000], [3.752, 0.000, 6.502]],
  "species": ["Rh", "Tc", "Tc", "Rh", "Rh", "Rh", "Rh", "Tc", "Rh", "Tc", "Rh", "Rh", "Tc", "Tc", "Rh", "Rh"],
  "fractional_positions": [[0.788, 0.750, 0.000], [0.417, 0.250, 0.583], [0.583, 0.750, 0.417], [0.333, 0.000, 0.333], [0.212, 0.250, 0.000], [0.667, 0.000, 0.667], [0.212, 0.750, 0.788], [0.000, 0.750, 0.583], [0.788, 0.250, 0.212], [0.417, 0.750, 0.000], [0.000, 0.750, 0.212], [0.667, 0.500, 0.667], [0.583, 0.250, 0.000], [0.000, 0.250, 0.418], [0.333, 0.500, 0.333], [0.000, 0.250, 0.788]]
}



(14)
{
  "formula": "Tc2Rh3",
  "functional": "PBE",
  "state": "relaxed",
  "sg": "No. 164",
  "density_g_cm3": 10.4,
  "dft_energy_ev_per_atom": -8.08,
  "dos_at_fermi_per_ev_atom": 2.051,
  "ef_ev_per_fu": 2.39,
  "total_magnetization_mub_per_fu": 0.55,
  "lattice": [[-1.793, 3.806, 0.255], [-1.519, -3.202, 2.281], [3.248, 1.265, 3.938]],
  "species": ["Tc", "Rh", "Rh", "Tc", "Rh"],
  "fractional_positions": [[0.667, 0.333, 0.138], [0.000, 0.000, 0.000], [0.333, 0.667, 0.373], [0.333, 0.667, 0.862], [0.667, 0.333, 0.627]]
}



(15)
{
  "formula": "Tc3Rh",
  "functional": "PBE",
  "state": "relaxed",
  "sg": "No. 221",
  "density_g_cm3": 6.2,
  "dft_energy_ev_per_atom": -6.92,
  "dos_at_fermi_per_ev_atom": 1.266,
  "ef_ev_per_fu": 10.77,
  "total_magnetization_mub_per_fu": 3.86,
  "lattice": [[4.728, 0.000, 0.000], [0.000, 4.728, 0.000], [0.000, 0.000, 4.728]],
  "species": ["Tc", "Tc", "Tc", "Rh"],
  "fractional_positions": [[0.500, 0.000, 0.000], [0.000, 0.000, 0.500], [0.000, 0.500, 0.000], [0.000, 0.000, 0.000]]
}



(16)
{
  "formula": "TcRh8",
  "functional": "PBE",
  "state": "relaxed",
  "sg": "No. 139",
  "density_g_cm3": 12.0,
  "dft_energy_ev_per_atom": -7.75,
  "dos_at_fermi_per_ev_atom": 0.971,
  "ef_ev_per_fu": -0.57,
  "total_magnetization_mub_per_fu": 0.00,
  "lattice": [[-2.727, 2.225, 1.531], [-5.255, -3.050, -0.120], [-0.216, -1.069, 5.979]],
  "species": ["Rh", "Rh", "Rh", "Tc", "Rh", "Rh", "Rh", "Rh", "Rh"],
  "fractional_positions": [[0.000, 0.670, 0.330], [0.000, 0.330, 0.670], [0.663, 0.674, 0.000], [0.000, 0.000, 0.000], [0.663, 0.000, 0.674], [0.337, 0.000, 0.326], [0.337, 0.326, 0.000], [0.670, 0.330, 0.330], [0.330, 0.670, 0.670]]
}



(17)
{
  "formula": "Tc7Rh",
  "functional": "PBE",
  "state": "relaxed",
  "sg": "No. 225",
  "density_g_cm3": 11.3,
  "dft_energy_ev_per_atom": -9.97,
  "dos_at_fermi_per_ev_atom": 1.377,
  "ef_ev_per_fu": 0.18,
  "total_magnetization_mub_per_fu": 0.00,
  "lattice": [[5.479, 0.000, 0.000], [2.740, 4.745, 0.000], [2.740, 1.582, 4.474]],
  "species": ["Tc", "Tc", "Rh", "Tc", "Tc", "Tc", "Tc", "Tc"],
  "fractional_positions": [[0.500, 0.500, 0.000], [0.000, 0.000, 0.500], [0.000, 0.000, 0.000], [0.500, 0.500, 0.500], [0.500, 0.000, 0.000], [0.500, 0.000, 0.500], [0.000, 0.500, 0.000], [0.000, 0.500, 0.500]]
}



(18)
{
  "formula": "TcRh3",
  "functional": "PBE",
  "state": "relaxed",
  "sg": "No. 123",
  "density_g_cm3": 11.9,
  "dft_energy_ev_per_atom": -8.16,
  "dos_at_fermi_per_ev_atom": 1.747,
  "ef_ev_per_fu": -0.21,
  "total_magnetization_mub_per_fu": 0.01,
  "lattice": [[2.708, 0.001, 0.000], [-0.001, 2.708, 0.000], [0.000, 0.000, 7.760]],
  "species": ["Rh", "Rh", "Rh", "Tc"],
  "fractional_positions": [[0.000, 0.000, 0.496], [0.000, 0.000, 0.004], [0.500, 0.500, 0.750], [0.500, 0.500, 0.250]]
}



(19)
{
  "formula": "Tc3Rh",
  "functional": "PBE",
  "state": "relaxed",
  "sg": "No. 59",
  "density_g_cm3": 11.5,
  "dft_energy_ev_per_atom": -9.74,
  "dos_at_fermi_per_ev_atom": 0.952,
  "ef_ev_per_fu": -0.52,
  "total_magnetization_mub_per_fu": 0.00,
  "lattice": [[-2.464, 3.850, -3.095], [-3.395, 0.029, 2.740], [2.110, 3.423, 2.578]],
  "species": ["Tc", "Rh", "Tc", "Tc", "Tc", "Rh", "Tc", "Tc"],
  "fractional_positions": [[0.500, 0.000, 0.677], [0.500, 0.500, 0.332], [0.000, 0.500, 0.323], [0.754, 0.000, 0.164], [0.746, 0.500, 0.836], [0.000, 0.000, 0.668], [0.246, 0.000, 0.164], [0.254, 0.500, 0.836]]
}



(20)
{
  "formula": "Tc3Rh",
  "functional": "PBE",
  "state": "relaxed",
  "sg": "No. 139",
  "density_g_cm3": 11.4,
  "dft_energy_ev_per_atom": -9.64,
  "dos_at_fermi_per_ev_atom": 0.921,
  "ef_ev_per_fu": -0.12,
  "total_magnetization_mub_per_fu": 0.00,
  "lattice": [[4.712, -0.011, -0.003], [1.526, 4.459, 0.003], [-3.117, -2.227, 2.745]],
  "species": ["Tc", "Tc", "Rh", "Tc"],
  "fractional_positions": [[0.000, 0.500, 0.500], [0.750, 0.750, 0.000], [0.500, 0.000, 0.500], [0.250, 0.250, 0.000]]
}